(1)
Density functional theory data (PBE-GGA) for a geometry-optimized NaSnS2Cl structure.

Calculated values
Density of states at the Fermi level   5.2 states/eV/cell
Size of the total moment   0.21 Bohr magnetons per cell

abc: 4.9196 4.9196 5.1147
angles: 90.00 90.00 90.00
Closest atoms and distances in Å follow each position.
Space group P4/mmm (No. 123)
Unique sites:
Na 0.0000 0.0000 0.0000 (multiplicity 1)  4 S 2.46, 2 Cl 2.56
Sn 0.5000 0.5000 0.5000 (multiplicity 1)  4 Cl 3.48, 8 S 3.55
S 0.0000 0.5000 0.0000 (multiplicity 2)  2 Na 2.46
Cl 0.0000 0.0000 0.5000 (multiplicity 1)  2 Na 2.56



(2)
Density functional theory data (PBE-GGA) for a geometry-optimized NaSnS2Cl structure.

Calculated values
Density of states at the Fermi level   0.6 states/eV/cell
Size of the total moment   0.00 Bohr magnetons per cell

abc: 5.0097 5.0097 5.4117
angles: 90.00 90.00 90.00
Closest atoms and distances in Å follow each position.
Space group P4/mmm (No. 123)
Unique sites:
Na 0.0000 0.0000 0.0000 (multiplicity 1)  4 Cl 3.54, 8 S 3.69
Sn 0.5000 0.5000 0.5000 (multiplicity 1)  4 S 2.50, 2 Cl 2.71
S 0.0000 0.5000 0.5000 (multiplicity 2)  2 Sn 2.50
Cl 0.5000 0.5000 0.0000 (multiplicity 1)  2 Sn 2.71



The energetic minimum among the shown structures is (2); the next structure lies 0.637 eV/atom above.